Model A:
Computed, not measured: crystalline LiV2Pd2 at its relaxed geometry at the PBE level of DFT.

POSCAR file:
```
LiV2Pd2
1.0
7.572 0.000 0.000
0.000 7.572 0.000
0.000 0.000 2.702
Li V Pd
2 4 4
Cartesian
0.000 0.000 0.000
3.786 3.786 0.000
1.221 2.565 1.351
2.565 6.351 1.351
5.006 1.221 1.351
6.351 5.006 1.351
1.020 4.806 0.000
2.766 1.020 0.000
4.806 6.552 0.000
6.552 2.766 0.000
```

Output
- theoretical density (Mg/m³) = 6.90
- Fermi-level density of states (states/eV/f.u.) = 3.736
- magnetization (μB/atom) = 0.0002


Model B:
Computed, not measured: crystalline LiV2Pd2 at its relaxed geometry at the PBE level of DFT.

POSCAR file:
```
LiV2Pd2
1.0
7.590 0.000 0.000
0.000 7.590 0.000
0.000 0.000 2.687
Li V Pd
2 4 4
Cartesian
0.000 0.000 0.000
3.795 3.795 0.000
0.841 2.954 0.000
2.954 6.749 0.000
4.636 0.841 0.000
6.749 4.636 0.000
1.380 5.175 1.344
2.415 1.380 1.344
5.175 6.210 1.344
6.210 2.415 1.344
```

Output
- theoretical density (Mg/m³) = 6.90
- Fermi-level density of states (states/eV/f.u.) = 3.936
- magnetization (μB/atom) = 0.0000


Of them, model A has the lowest stability.


Model A:
Computed, not measured: crystalline LiVPd4 at its relaxed geometry at the PBE level of DFT.

POSCAR file:
```
LiVPd4
1.0
7.426 0.000 0.000
0.000 2.758 0.000
0.000 0.000 17.032
Li V Pd
4 4 16
Cartesian
1.839 0.690 3.196
1.874 2.069 11.712
5.551 0.690 5.320
5.587 2.069 13.836
1.856 0.690 15.940
1.857 2.069 7.425
5.569 0.690 9.607
5.569 2.069 1.091
0.401 0.690 1.116
0.575 0.690 13.660
0.695 0.690 5.554
0.798 0.690 9.457
2.915 2.069 0.941
3.018 2.069 14.070
3.138 2.069 5.144
3.312 2.069 9.632
4.114 0.690 7.400
4.288 0.690 11.888
4.408 0.690 2.962
4.511 0.690 16.091
6.628 2.069 7.575
6.731 2.069 11.478
6.851 2.069 3.372
7.025 2.069 15.916
```

Output
- theoretical density (Mg/m³) = 9.21
- Fermi-level density of states (states/eV/f.u.) = 4.437
- magnetization (μB/atom) = 0.0001


Model B:
Computed, not measured: crystalline LiVPd4 at its relaxed geometry at the PBE level of DFT.

POSCAR file:
```
LiVPd4
1.0
4.532 0.000 0.000
-0.012 4.663 0.000
-2.251 -2.319 8.404
Li V Pd
2 2 8
Cartesian
-1.121 -1.407 8.403
3.390 3.751 0.000
-1.131 1.172 4.202
1.141 -1.160 4.202
-1.126 -1.348 5.530
-1.129 0.924 7.019
1.128 3.252 1.388
1.134 0.982 2.873
1.136 1.363 5.531
1.141 -0.908 7.016
3.399 1.420 1.384
3.395 3.692 2.873
```

Output
- theoretical density (Mg/m³) = 9.04
- Fermi-level density of states (states/eV/f.u.) = 3.070
- magnetization (μB/atom) = 0.0350


Of them, model B has the lowest stability.


Model A:
Computed, not measured: crystalline Li2Pd2W at its relaxed geometry at the PBE level of DFT.

POSCAR file:
```
Li2Pd2W
1.0
-2.150 2.150 3.740
2.150 -2.150 3.740
2.150 2.150 -3.740
Li Pd W
2 2 1
Cartesian
0.000 0.000 0.922
0.000 0.000 6.558
2.150 0.000 1.870
0.000 2.150 1.870
0.000 0.000 3.740
```

Output
- theoretical density (Mg/m³) = 9.85
- Fermi-level density of states (states/eV/f.u.) = 2.911
- magnetization (μB/atom) = 0.0000


Model B:
Computed, not measured: crystalline Li2Pd2W at its relaxed geometry at the PBE level of DFT.

POSCAR file:
```
Li2Pd2W
1.0
7.088 0.000 0.000
0.000 7.088 0.000
0.000 0.000 2.710
Li Pd W
4 4 2
Cartesian
0.775 2.769 0.000
2.769 6.314 0.000
4.319 0.775 0.000
6.314 4.319 0.000
1.362 4.906 1.355
2.182 1.362 1.355
4.906 5.726 1.355
5.726 2.182 1.355
0.000 0.000 0.000
3.544 3.544 0.000
```

Output
- theoretical density (Mg/m³) = 10.02
- Fermi-level density of states (states/eV/f.u.) = 3.856
- magnetization (μB/atom) = 0.0000


Of them, model A has the lowest stability.


Model A:
Computed, not measured: crystalline LiPd3W at its relaxed geometry at the PBE level of DFT.

POSCAR file:
```
LiPd3W
1.0
4.214 0.000 0.000
0.000 4.214 0.000
0.000 0.000 4.214
Li Pd W
1 3 1
Cartesian
0.000 0.000 0.000
0.000 0.000 2.107
0.000 2.107 0.000
2.107 0.000 0.000
2.107 2.107 2.107
```

Output
- theoretical density (Mg/m³) = 11.32
- Fermi-level density of states (states/eV/f.u.) = 4.453
- magnetization (μB/atom) = 0.6094


Model B:
Computed, not measured: crystalline LiPd3W at its relaxed geometry at the PBE level of DFT.

POSCAR file:
```
LiPd3W
1.0
4.852 0.000 0.000
0.000 4.852 0.000
0.000 0.000 4.852
Li Pd W
1 3 1
Cartesian
0.000 0.000 0.000
0.000 2.426 2.426
2.426 0.000 2.426
2.426 2.426 0.000
2.426 2.426 2.426
```

Output
- theoretical density (Mg/m³) = 7.42
- Fermi-level density of states (states/eV/f.u.) = 3.849
- magnetization (μB/atom) = 0.0000


Of them, model B has the lowest stability.


Model A:
Computed, not measured: crystalline Li2PdW at its relaxed geometry at the PBE level of DFT.

POSCAR file:
```
Li2PdW
1.0
-3.385 3.385 2.559
3.385 -3.385 2.559
3.385 3.385 -2.559
Li Pd W
4 2 2
Cartesian
1.692 1.531 -0.640
1.854 -1.692 3.199
1.692 1.854 1.919
1.531 5.077 0.640
0.000 0.000 0.000
0.000 3.385 1.280
3.385 0.000 1.280
0.000 0.000 2.559
```

Output
- theoretical density (Mg/m³) = 8.61
- Fermi-level density of states (states/eV/f.u.) = 2.398
- magnetization (μB/atom) = 0.0249


Model B:
Computed, not measured: crystalline Li2PdW at its relaxed geometry at the PBE level of DFT.

POSCAR file:
```
Li2PdW
1.0
0.000 2.987 2.987
2.987 0.000 2.987
2.987 2.987 0.000
Li Pd W
2 1 1
Cartesian
1.493 1.493 1.493
4.480 4.480 4.480
0.000 0.000 0.000
2.987 2.987 2.987
```

Output
- theoretical density (Mg/m³) = 9.48
- Fermi-level density of states (states/eV/f.u.) = 3.566
- magnetization (μB/atom) = 0.0501


Of them, model A has the lowest stability.


Model A:
Computed, not measured: crystalline LiYPd6 at its relaxed geometry at the PBE level of DFT.

POSCAR file:
```
LiYPd6
1.0
4.081 0.000 0.000
0.000 4.081 0.000
0.000 0.000 7.830
Li Y Pd
1 1 6
Cartesian
0.000 0.000 0.000
0.000 0.000 3.915
0.000 2.041 1.839
0.000 2.041 5.991
2.041 0.000 1.839
2.041 0.000 5.991
2.041 2.041 0.000
2.041 2.041 3.915
```

Output
- theoretical density (Mg/m³) = 9.35
- Fermi-level density of states (states/eV/f.u.) = 8.589
- magnetization (μB/atom) = 0.0000


Model B:
Computed, not measured: crystalline LiYPd6 at its relaxed geometry at the PBE level of DFT.

POSCAR file:
```
LiYPd6
1.0
2.701 1.560 6.505
-2.701 1.560 6.505
0.000 -3.119 6.505
Li Y Pd
1 1 6
Cartesian
0.000 0.000 0.000
0.000 0.000 9.758
0.000 -1.538 4.597
-1.332 0.769 4.597
-1.332 -0.769 14.919
1.332 0.769 4.597
1.332 -0.769 14.919
0.000 1.538 14.919
```

Output
- theoretical density (Mg/m³) = 7.42
- Fermi-level density of states (states/eV/f.u.) = 8.695
- magnetization (μB/atom) = 0.0000


Of them, model B has the lowest stability.


Model A:
Computed, not measured: crystalline LiYPd at its relaxed geometry at the PBE level of DFT.

POSCAR file:
```
LiYPd
1.0
0.000 3.278 3.278
3.278 0.000 3.278
3.278 3.278 0.000
Li Y Pd
1 1 1
Cartesian
0.000 0.000 0.000
3.278 3.278 3.278
1.639 1.639 1.639
```

Output
- theoretical density (Mg/m³) = 4.77
- Fermi-level density of states (states/eV/f.u.) = 1.323
- magnetization (μB/atom) = 0.0000


Model B:
Computed, not measured: crystalline LiYPd at its relaxed geometry at the PBE level of DFT.

POSCAR file:
```
LiYPd
1.0
4.356 0.000 0.000
-2.178 3.773 0.000
0.000 0.000 3.676
Li Y Pd
1 1 1
Cartesian
0.000 0.000 0.000
2.178 1.258 1.838
0.000 2.515 0.000
```

Output
- theoretical density (Mg/m³) = 5.56
- Fermi-level density of states (states/eV/f.u.) = 1.592
- magnetization (μB/atom) = 0.0000


Model C:
Computed, not measured: crystalline LiYPd at its relaxed geometry at the PBE level of DFT.

POSCAR file:
```
LiYPd
1.0
4.025 0.000 0.000
0.000 4.038 0.000
0.000 0.000 7.611
Li Y Pd
2 2 2
Cartesian
1.006 1.009 0.003
3.018 3.028 7.608
1.006 3.028 2.647
3.018 1.009 4.964
1.006 3.028 5.652
3.018 1.009 1.959
```

Output
- theoretical density (Mg/m³) = 5.43
- Fermi-level density of states (states/eV/f.u.) = 2.090
- magnetization (μB/atom) = 0.0000


Of them, model A has the lowest stability.


Model A:
Computed, not measured: crystalline LiY2Pd3 at its relaxed geometry at the PBE level of DFT.

POSCAR file:
```
LiY2Pd3
1.0
3.476 0.000 0.000
0.000 3.476 0.000
0.000 0.000 9.588
Li Y Pd
1 2 3
Cartesian
0.000 0.000 0.000
0.000 0.000 3.017
0.000 0.000 6.571
1.738 1.738 1.395
1.738 1.738 4.794
1.738 1.738 8.193
```

Output
- theoretical density (Mg/m³) = 7.23
- Fermi-level density of states (states/eV/f.u.) = 1.941
- magnetization (μB/atom) = 0.0000


Model B:
Computed, not measured: crystalline LiY2Pd3 at its relaxed geometry at the PBE level of DFT.

POSCAR file:
```
LiY2Pd3
1.0
4.852 0.000 0.000
-2.426 4.202 0.000
0.000 0.000 11.614
Li Y Pd
2 4 6
Cartesian
0.000 2.801 1.924
2.426 1.401 9.691
0.000 0.000 0.000
0.000 0.000 5.807
0.000 2.801 7.963
2.426 1.401 3.651
0.000 0.000 2.892
0.000 0.000 8.722
0.000 2.801 4.832
0.000 2.801 10.811
2.426 1.401 0.803
2.426 1.401 6.782
```

Output
- theoretical density (Mg/m³) = 7.07
- Fermi-level density of states (states/eV/f.u.) = 2.684
- magnetization (μB/atom) = 0.0000


Of them, model B has the lowest stability.